Computed, not measured: a relaxed Ac2Hg3Pd2 crystal at the PBE-GGA level of DFT.

Values from the calculation:
E in eV per atom: -3.359
Total magnetization in μB/atom: 0.00
ρ in g/cm³: 11.4
Space-group type: C2/m (12)

```
7
Lattice="-2.3904 2.9731 -2.0387 1.6204 -4.3857 -3.7072 -6.3951 -3.6089 2.2353" Properties=species:S:1:pos:R:3 pbc="T T T"
Hg -0.6245 -2.3542 -2.7011
Ac -3.9667 -4.5951 -2.0503
Pd -3.1854 -2.2115 -4.0789
Hg 0.0000 0.0000 0.0000
Ac -3.1984 -0.4263 -1.4603
Pd -3.9797 -2.8099 0.5684
Hg -6.5406 -2.6672 -0.8095
```